[1]
VASP calculation (PBE) on Gd2BrO after structural relaxation.

a b c (Å): 7.470 7.470 7.470
angles (deg): 28.24 28.24 28.24
Sites, in units of the cell vectors:
Gd 0.226 0.226 0.226
Gd 0.774 0.774 0.774
Br 0.000 0.000 0.000
O 0.500 0.500 0.500

- energy relative to the elements, uncorrected (eV per formula unit) = -7.43
- space group = R-3m
- theoretical density (g cm⁻³) = 8.266

=====

[2]
VASP calculation (PBE) on Dy5Ru4Pb after structural relaxation.

a b c (Å): 3.417 3.417 18.360
angles (deg): 90.00 90.00 90.00
Sites, in units of the cell vectors:
Dy 0.000 0.000 0.000
Dy 0.000 0.000 0.183
Dy 0.000 0.000 0.367
Dy 0.000 0.000 0.633
Dy 0.000 0.000 0.817
Ru 0.500 0.500 0.092
Ru 0.500 0.500 0.279
Ru 0.500 0.500 0.721
Ru 0.500 0.500 0.908
Pb 0.500 0.500 0.500

- space group = P4/mmm
- formation enthalpy at 0 K (eV/atom) = -0.39
- theoretical density (g cm⁻³) = 11.032

=====

[3]
VASP calculation (PBE) on DyCdIrPt after structural relaxation.

a b c (Å): 4.751 4.751 4.751
angles (deg): 60.00 60.00 60.00
Sites, in units of the cell vectors:
Dy 0.000 0.000 0.000
Cd 0.500 0.500 0.500
Ir 0.250 0.250 0.250
Pt 0.750 0.750 0.750

- space group = F-43m
- formation enthalpy at 0 K (eV/atom) = -0.56
- theoretical density (g cm⁻³) = 14.497

=====

[4]
VASP calculation (PBE) on TaCr3H after structural relaxation.

a b c (Å): 3.831 3.831 3.831
angles (deg): 90.00 90.00 90.00
Sites, in units of the cell vectors:
Ta 0.000 0.000 0.000
Cr 0.000 0.500 0.500
Cr 0.500 0.000 0.500
Cr 0.500 0.500 0.000
H 0.500 0.500 0.500

- distance to the lowest polymorph of the same formula (eV per atom) = 0.000
- space group = Pm-3m
- theoretical density (g cm⁻³) = 9.982

=====

[5]
VASP calculation (PBE) on ZnPRhSe after structural relaxation.

a b c (Å): 4.613 4.613 5.000
angles (deg): 93.29 93.29 46.81
Sites, in units of the cell vectors:
Zn 0.000 0.000 0.000
P 0.702 0.702 0.928
Rh 0.289 0.289 0.194
Se 0.846 0.846 0.528

- distance to the lowest polymorph of the same formula (eV per atom) = 0.197
- energy relative to the elements, uncorrected (eV per formula unit) = -0.74
- space group = Cm
- theoretical density (g cm⁻³) = 5.967

=====

[6]
VASP calculation (PBE) on Sm3Y2Tm9 after structural relaxation.

a b c (Å): 6.197 8.661 8.686
angles (deg): 79.05 85.87 77.68
Sites, in units of the cell vectors:
Sm 0.000 0.000 0.000
Sm 0.259 0.270 0.386
Sm 0.741 0.730 0.614
Y 0.453 0.703 0.969
Y 0.547 0.297 0.031
Tm 0.000 0.500 0.000
Tm 0.096 0.691 0.317
Tm 0.184 0.895 0.620
Tm 0.346 0.491 0.669
Tm 0.489 0.916 0.252
Tm 0.511 0.084 0.748
Tm 0.654 0.509 0.331
Tm 0.816 0.105 0.380
Tm 0.904 0.309 0.683

- space group = P-1
- formation enthalpy at 0 K (eV/atom) = 0.12
- theoretical density (g cm⁻³) = 7.986

=====

[7]
VASP calculation (PBE) on Sc2GaAs after structural relaxation.

a b c (Å): 9.681 9.681 9.681
angles (deg): 19.58 19.58 19.58
Sites, in units of the cell vectors:
Sc 0.093 0.093 0.093
Sc 0.907 0.907 0.907
Ga 0.500 0.500 0.500
As 0.000 0.000 0.000

- distance to the lowest polymorph of the same formula (eV per atom) = 0.779
- space group = R-3m
- formation enthalpy at 0 K (eV/atom) = -0.20
- theoretical density (g cm⁻³) = 4.371

=====

[8]
VASP calculation (PBE) on Zn2GaAg8 after structural relaxation.

a b c (Å): 7.427 7.427 6.594
angles (deg): 108.45 108.45 33.37
Sites, in units of the cell vectors:
Zn 0.221 0.221 0.142
Zn 0.779 0.779 0.858
Ga 0.500 0.500 0.500
Ag 0.046 0.046 0.229
Ag 0.144 0.144 0.700
Ag 0.321 0.321 0.577
Ag 0.403 0.403 0.045
Ag 0.597 0.597 0.955
Ag 0.679 0.679 0.423
Ag 0.856 0.856 0.300
Ag 0.954 0.954 0.771

- distance to the lowest polymorph of the same formula (eV per atom) = 0.000
- space group = C2/m
- formation enthalpy at 0 K (eV/atom) = -0.01
- theoretical density (g cm⁻³) = 9.354

=====

[9]
VASP calculation (PBE) on Nd2Hf3Si4 after structural relaxation.

a b c (Å): 7.370 7.379 7.180
angles (deg): 90.00 108.55 90.00
Sites, in units of the cell vectors:
Nd 0.188 0.169 0.070
Nd 0.188 0.331 0.570
Nd 0.812 0.669 0.430
Nd 0.812 0.831 0.930
Hf 0.255 0.676 0.251
Hf 0.255 0.824 0.751
Hf 0.500 0.000 0.500
Hf 0.500 0.500 0.000
Hf 0.745 0.176 0.249
Hf 0.745 0.324 0.749
Si 0.085 0.537 0.873
Si 0.085 0.963 0.373
Si 0.495 0.125 0.869
Si 0.495 0.375 0.369
Si 0.505 0.625 0.631
Si 0.505 0.875 0.131
Si 0.915 0.037 0.627
Si 0.915 0.463 0.127

- energy relative to the elements, uncorrected (eV per formula unit) = -7.05
- space group = P2_1/c
- theoretical density (g cm⁻³) = 8.399

=====

[10]
VASP calculation (PBE) on PmURu2 after structural relaxation.

a b c (Å): 4.852 4.852 4.852
angles (deg): 60.00 60.00 60.00
Sites, in units of the cell vectors:
Pm 0.000 0.000 0.000
U 0.500 0.500 0.500
Ru 0.250 0.250 0.250
Ru 0.750 0.750 0.750

- distance to the lowest polymorph of the same formula (eV per atom) = 0.181
- space group = Fm-3m
- formation enthalpy at 0 K (eV/atom) = -0.09
- theoretical density (g cm⁻³) = 12.031

=====

[11]
VASP calculation (PBE) on TaB4W3 after structural relaxation.

a b c (Å): 3.111 3.212 8.602
angles (deg): 90.00 90.00 90.00
Sites, in units of the cell vectors:
Ta 0.000 0.000 0.000
B 0.000 0.000 0.296
B 0.000 0.500 0.793
B 0.500 0.000 0.417
B 0.500 0.500 0.910
W 0.000 0.500 0.500
W 0.500 0.000 0.707
W 0.500 0.500 0.213

- distance to the lowest polymorph of the same formula (eV per atom) = 0.000
- space group = Pmm2
- formation enthalpy at 0 K (eV/atom) = -0.48
- theoretical density (g cm⁻³) = 14.986

=====

[12]
VASP calculation (PBE) on CaSmCd2Hg4 after structural relaxation.

a b c (Å): 9.069 9.069 9.069
angles (deg): 32.74 32.74 32.74
Sites, in units of the cell vectors:
Ca 0.000 0.000 0.000
Sm 0.500 0.500 0.500
Cd 0.250 0.250 0.250
Cd 0.750 0.750 0.750
Hg 0.123 0.123 0.123
Hg 0.376 0.376 0.376
Hg 0.624 0.624 0.624
Hg 0.877 0.877 0.877

- space group = R-3m
- formation enthalpy at 0 K (eV/atom) = -0.38
- theoretical density (g cm⁻³) = 10.420

=====

[13]
VASP calculation (PBE) on YCd8Hg4 after structural relaxation.

a b c (Å): 4.280 4.284 17.805
angles (deg): 90.00 90.00 90.00
Sites, in units of the cell vectors:
Y 0.000 0.000 0.000
Cd 0.000 0.000 0.173
Cd 0.000 0.000 0.441
Cd 0.000 0.500 0.582
Cd 0.000 0.500 0.864
Cd 0.500 0.000 0.302
Cd 0.500 0.000 0.864
Cd 0.500 0.500 0.436
Cd 0.500 0.500 0.720
Hg 0.000 0.000 0.725
Hg 0.000 0.500 0.292
Hg 0.500 0.000 0.577
Hg 0.500 0.500 0.072

- space group = Pmm2
- formation enthalpy at 0 K (eV/atom) = -0.02
- theoretical density (g cm⁻³) = 9.107

=====

[14]
VASP calculation (PBE) on AcPt after structural relaxation.

a b c (Å): 4.139 4.676 6.139
angles (deg): 90.00 109.48 90.00
Sites, in units of the cell vectors:
Ac 0.135 0.250 0.268
Ac 0.865 0.750 0.732
Pt 0.407 0.250 0.816
Pt 0.593 0.750 0.184

- space group = P2_1/m
- formation enthalpy at 0 K (eV/atom) = -1.16
- theoretical density (g cm⁻³) = 12.513

=====

[15]
VASP calculation (PBE) on PrSm3HoTm after structural relaxation.

a b c (Å): 8.053 8.053 10.216
angles (deg): 90.00 90.00 143.27
Sites, in units of the cell vectors:
Pr 0.001 0.999 0.750
Pr 0.999 0.001 0.250
Sm 0.166 0.834 0.000
Sm 0.166 0.834 0.500
Sm 0.332 0.668 0.750
Sm 0.668 0.332 0.250
Sm 0.834 0.166 0.000
Sm 0.834 0.166 0.500
Ho 0.500 0.500 0.000
Ho 0.500 0.500 0.500
Tm 0.333 0.667 0.250
Tm 0.667 0.333 0.750

- space group = Cmcm
- formation enthalpy at 0 K (eV/atom) = 0.02
- theoretical density (g cm⁻³) = 7.761

=====

[16]
VASP calculation (PBE) on GdDy3H after structural relaxation.

a b c (Å): 4.988 4.988 4.988
angles (deg): 90.00 90.00 90.00
Sites, in units of the cell vectors:
Gd 0.000 0.000 0.000
Dy 0.000 0.500 0.500
Dy 0.500 0.000 0.500
Dy 0.500 0.500 0.000
H 0.500 0.500 0.500

- final energy (eV/atom) = -6.42
- space group = Pm-3m
- theoretical density (g cm⁻³) = 8.642

=====

[17]
VASP calculation (PBE) on NaAs2Pb2 after structural relaxation.

a b c (Å): 6.908 6.908 6.908
angles (deg): 136.61 136.61 63.04
Sites, in units of the cell vectors:
Na 0.000 0.000 0.000
As 0.391 0.391 0.000
As 0.609 0.609 0.000
Pb 0.250 0.750 0.500
Pb 0.750 0.250 0.500

- space group = I4/mmm
- formation enthalpy at 0 K (eV/atom) = -0.03
- theoretical density (g cm⁻³) = 6.347

=====

[18]
VASP calculation (PBE) on CdSeN2 after structural relaxation.

a b c (Å): 4.152 4.152 4.152
angles (deg): 60.00 60.00 60.00
Sites, in units of the cell vectors:
Cd 0.000 0.000 0.000
Se 0.500 0.500 0.500
N 0.250 0.250 0.250
N 0.750 0.750 0.750

- distance to the lowest polymorph of the same formula (eV per atom) = 0.740
- energy relative to the elements, uncorrected (eV per formula unit) = 7.05
- space group = Fm-3m
- theoretical density (g cm⁻³) = 7.197

=====

[19]
VASP calculation (PBE) on Pr3SmTm4 after structural relaxation.

a b c (Å): 10.178 7.172 7.175
angles (deg): 90.00 90.00 90.00
Sites, in units of the cell vectors:
Pr 0.000 0.000 0.000
Pr 0.250 0.252 0.250
Pr 0.250 0.748 0.750
Pr 0.500 0.000 0.500
Pr 0.750 0.252 0.250
Pr 0.750 0.748 0.750
Sm 0.000 0.500 0.500
Sm 0.500 0.500 0.000
Tm 0.000 0.000 0.500
Tm 0.000 0.500 0.000
Tm 0.250 0.250 0.750
Tm 0.250 0.750 0.250
Tm 0.500 0.000 0.000
Tm 0.500 0.500 0.500
Tm 0.750 0.250 0.750
Tm 0.750 0.750 0.250

- distance to the lowest polymorph of the same formula (eV per atom) = 0.000
- space group = Pmna
- formation enthalpy at 0 K (eV/atom) = 0.02
- theoretical density (g cm⁻³) = 7.918

=====

[20]
VASP calculation (PBE) on HgTeCl2 after structural relaxation.

a b c (Å): 5.127 5.127 5.127
angles (deg): 60.00 60.00 60.00
Sites, in units of the cell vectors:
Hg 0.000 0.000 0.000
Te 0.250 0.250 0.250
Cl 0.500 0.500 0.500
Cl 0.750 0.750 0.750

- distance to the lowest polymorph of the same formula (eV per atom) = 0.468
- energy relative to the elements, uncorrected (eV per formula unit) = 0.55
- space group = F-43m
- theoretical density (g cm⁻³) = 6.956